# 1
Compound: H3SeCl
Source: Alexandria
Functional: PBE-GGA
Structure: relaxed

Cell lengths 3.7349, 3.7349, 3.7349 Å; angles 90.00, 90.00, 90.00 degrees
Space group Pm-3m (No. 221)
One atom of each set of equivalent atoms:
H  0.0000  0.0000  0.5000 x3
Se  0.5000  0.5000  0.5000 x1
Cl  0.0000  0.0000  0.0000 x1

Calculated values
* energy: -1.997 eV/atom
* offset from the most stable computed form: 1.283 eV per atom
* D(E_F): 2.80 states/eV/f.u.
* V: 52.10 Å³ per cell

***

# 2
Compound: SbTe3
Source: Alexandria
Functional: PBE-GGA
Structure: relaxed

Cell lengths 3.8714, 4.8663, 12.9756 Å; angles 90.00, 90.00, 90.00 degrees
Space group Cmmm (No. 65)
One atom of each set of equivalent atoms:
Sb  0.0000  0.0000  0.0000 x2
Te  0.0000  0.0000  0.5000 x2
Te  0.0000  0.5000  0.2230 x4

Calculated values
* energy: -3.153 eV/atom
* offset from the most stable computed form: 0.225 eV per atom
* D(E_F): 2.53 states/eV/f.u.
* V: 244.45 Å³ per cell
* formation energy without anion corrections: 22.6 kJ per mole of atoms

***

# 3
Compound: TbCeEuAl
Source: Alexandria
Functional: PBE-GGA
Structure: relaxed

Cell lengths 7.6547, 7.6547, 7.6547 Å; angles 90.00, 90.00, 90.00 degrees
Space group F-43m (No. 216)
One atom of each set of equivalent atoms:
Tb  0.0000  0.0000  0.0000 x4
Ce  0.0000  0.0000  0.5000 x4
Eu  0.2500  0.2500  0.2500 x4
Al  0.2500  0.2500  0.7500 x4

Calculated values
* energy: -6.147 eV/atom
* D(E_F): 7.70 states/eV/f.u.
* V: 448.53 Å³ per cell
* E_form: -1 meV/atom

***

# 4
Compound: TiOsO2
Source: Alexandria
Functional: PBE-GGA
Structure: relaxed

Cell lengths 2.7966, 2.7966, 19.4107 Å; angles 90.00, 90.00, 120.00 degrees
Space group R-3m (No. 166, hexagonal axes)
One atom of each set of equivalent atoms:
Ti  0.0000  0.0000  0.0000 x3
Os  0.0000  0.0000  0.5000 x3
O  0.0000  0.0000  0.3955 x6

Calculated values
* energy: -8.847 eV/atom
* offset from the most stable computed form: 0.000 eV per atom
* D(E_F): 2.96 states/eV/f.u.
* V: 131.47 Å³ per cell
* formation energy without anion corrections: -153.0 kJ per mole of atoms

***

# 5
Compound: SrTcAg
Source: Alexandria
Functional: PBE-GGA
Structure: relaxed

Cell lengths 3.5294, 3.5294, 11.3870 Å; angles 90.00, 90.00, 90.00 degrees
Space group I4mm (No. 107)
One atom of each set of equivalent atoms:
Sr  0.0000  0.0000  0.0000 x2
Tc  0.0000  0.0000  0.3089 x2
Ag  0.0000  0.0000  0.7019 x2

Calculated values
* energy: -4.235 eV/atom
* offset from the most stable computed form: 0.499 eV per atom
* D(E_F): 3.46 states/eV/f.u.
* V: 141.84 Å³ per cell
* E_form: 731 meV/atom

***

# 6
Compound: Tb3Pr2Nd
Source: Alexandria
Functional: PBE-GGA
Structure: relaxed

Cell lengths 23.6135, 3.5373, 10.4505 Å; angles 90.00, 108.56, 90.00 degrees
Space group C2/m (No. 12)
One atom of each set of equivalent atoms:
Tb  0.0589  0.0000  0.4468 x4
Tb  0.0687  0.5000  0.7618 x4
Tb  0.1945  0.0000  0.7150 x4
Pr  0.0668  0.5000  0.1385 x4
Pr  0.1906  0.0000  0.3715 x4
Nd  0.1876  0.0000  0.0355 x4

Calculated values
* energy: -4.585 eV/atom
* offset from the most stable computed form: 0.000 eV per atom
* D(E_F): 9.15 states/eV/f.u.
* V: 827.51 Å³ per cell
* E_form: 118 meV/atom

***

Which total magnetization belongs to each record? In order, 1.0 0.0 35.0 0.0 3.8 0.0 μB per cell.